1.
This record from Alexandria via LeMat-Bulk describes crystalline AcSmDy3 at its relaxed geometry. The functional is GGA-PBE.

The space group is P-1 (No. 2) and the conventional cell measures 4.9416, 8.6285 and 9.4744 Å, with angles of 68.94, 74.91 and 90.00 degrees. Symmetry generates all atoms from Ac at (0.1151, 0.1513, 0.2707), Sm at (0.3123, 0.1108, 0.8754), Dy at (0.0557, 0.6965, 0.3886), Dy at (0.2269, 0.6263, 0.0462) and Dy at (0.4147, 0.5522, 0.6705).

The raw total energy comes out at -43.8 eV/cell. The mass density is 7.93 g/cm3.

---

2.
This record from Alexandria via LeMat-Bulk describes crystalline AcSm2Dy at its relaxed geometry. The functional is GGA-PBE.

The space group is Fm-3m (No. 225) and the conventional cell measures 8.3254, 8.3254 and 8.3254 Å, with angles of 90.00, 90.00 and 90.00 degrees. Symmetry generates all atoms from Ac at (0.0000, 0.0000, 0.0000), Sm at (0.2500, 0.2500, 0.2500) and Dy at (0.0000, 0.0000, 0.5000).

Its excess energy over the best structure of this formula in the dataset is 121 meV/atom. The mass density is 7.94 g/cm3.

---

3.
This record from Alexandria via LeMat-Bulk describes crystalline Ac2SmDy at its relaxed geometry. The functional is GGA-PBE.

The space group is R3m (No. 160, hexagonal axes) and the conventional cell measures 3.8185, 3.8185 and 36.4470 Å, with angles of 90.00, 90.00 and 120.00 degrees. Symmetry generates all atoms from Ac at (0.0000, 0.0000, 0.0000), Ac at (0.0000, 0.0000, 0.1681), Sm at (0.0000, 0.0000, 0.7516) and Dy at (0.0000, 0.0000, 0.5831).

Its excess energy over the best structure of this formula in the dataset is 21 meV/atom. The mass density is 8.30 g/cm3.

---

4.
This record from Alexandria via LeMat-Bulk describes crystalline Ac2Sm2Dy at its relaxed geometry. The functional is GGA-PBE.

The space group is C2/c (No. 15) and the conventional cell measures 16.5409, 6.6163 and 7.1668 Å, with angles of 90.00, 104.80 and 90.00 degrees. Symmetry generates all atoms from Ac at (0.1960, 0.0868, 0.1529), Sm at (0.0940, 0.4171, 0.4486) and Dy at (0.0000, 0.0882, 0.7500).

Its excess energy over the best structure of this formula in the dataset is 0 meV/atom. The mass density is 8.03 g/cm3.

---

5.
This record from Alexandria via LeMat-Bulk describes crystalline Ac3SmDy2 at its relaxed geometry. The functional is GGA-PBE.

The space group is Fddd (No. 70, origin choice 2) and the conventional cell measures 7.5438, 10.7898 and 22.6700 Å, with angles of 90.00, 90.00 and 90.00 degrees. Symmetry generates all atoms from Ac at (0.1250, 0.1250, 0.1250), Ac at (0.1250, 0.1250, 0.4581), Sm at (0.1250, 0.1250, 0.6250) and Dy at (0.1250, 0.1250, 0.2912).

The raw total energy comes out at -206.5 eV/cell. The mass density is 8.32 g/cm3.

---

6.
This record from Alexandria via LeMat-Bulk describes crystalline Ac2SmDy2 at its relaxed geometry. The functional is GGA-PBE.

The space group is P-1 (No. 2) and the conventional cell measures 6.5942, 7.0985 and 9.6485 Å, with angles of 71.75, 89.93 and 62.33 degrees. Symmetry generates all atoms from Ac at (0.0302, 0.1121, 0.1507), Ac at (0.3589, 0.1095, 0.6497), Sm at (0.4353, 0.3052, 0.9483), Dy at (0.1771, 0.5006, 0.2523) and Dy at (0.2401, 0.6929, 0.5498).

The raw total energy comes out at -43.6 eV/cell. The mass density is 8.25 g/cm3.

---

7.
This record from Alexandria via LeMat-Bulk describes crystalline Ac5Sm4Dy2 at its relaxed geometry. The functional is GGA-PBE.

The space group is P2/m (No. 10) and the conventional cell measures 9.3135, 3.6916 and 12.5288 Å, with angles of 90.00, 92.74 and 90.00 degrees. Symmetry generates all atoms from Ac at (0.0000, 0.0000, 0.0000), Ac at (0.1990, 0.0000, 0.5235), Ac at (0.2816, 0.0000, 0.8169), Sm at (0.0793, 0.5000, 0.2655), Sm at (0.4620, 0.5000, 0.3540) and Dy at (0.3485, 0.0000, 0.1213).

The raw total energy comes out at -46.8 eV/cell. The mass density is 7.96 g/cm3.

---

8.
This record from Alexandria via LeMat-Bulk describes crystalline AcSm7Dy4 at its relaxed geometry. The functional is GGA-PBE.

The space group is P-1 (No. 2) and the conventional cell measures 6.3296, 7.3197 and 9.0240 Å, with angles of 90.02, 103.55 and 90.00 degrees. Symmetry generates all atoms from Ac at (0.0000, 0.0000, 0.0000), Sm at (0.0000, 0.5000, 0.0000), Sm at (0.2251, 0.0000, 0.6622), Sm at (0.2811, 0.7457, 0.3376), Sm at (0.5001, 0.2555, 0.0009), Dy at (0.2184, 0.4998, 0.6651) and Dy at (0.2794, 0.2557, 0.3363).

Its excess energy over the best structure of this formula in the dataset is 0 meV/atom. The mass density is 7.88 g/cm3.